## CsV3Cr (PBE)

Data for crystalline CsV3Cr at its relaxed geometry.

Summary:
- Relative energy among the computed polymorphs: 1573 meV per atom
- Energy relative to the elements: 3055 meV per atom
- Magnetic moment: 0.12 μB per atom

Cell lengths 4.698, 4.698, 4.698 Å; angles 90.00, 90.00, 90.00 degrees
Space group Pm-3m (No. 221)
Inequivalent atoms, fractional coordinates:
Cs: 0.000 0.000 0.000
V: 0.000 0.000 0.500
Cr: 0.500 0.500 0.500

## Na2AsAu (PBE)

Data for crystalline Na2AsAu at its relaxed geometry.

Summary:
- Energy relative to the elements: -120 meV per atom
- Magnetic moment: 0.00 μB per atom

Cell lengths 8.280, 8.280, 5.357 Å; angles 90.00, 90.00, 90.00 degrees
Space group I-42d (No. 122)
Inequivalent atoms, fractional coordinates:
Na: 0.244 0.250 0.125
As: 0.000 0.000 0.000
Au: 0.000 0.000 0.500

no.,DOS(E_F) (states/eV per cell)
1,9.98
2,7.44